Record 1
A plane-wave DFT calculation with PBE was carried out for a relaxed structure of LaNi2Os.

formation energy = 0.96 eV/f.u.
crystal system = monoclinic
DOS at the Fermi energy = 1.069 states/eV per atom
space group = No. 8

Cell and atoms, written as extended XYZ:
```
4
Lattice="4.848 -1.437 0.000 4.848 1.437 0.000 -1.552 0.000 4.653" Properties=species:S:1:pos:R:3 pbc="T T T"
La 0.000 0.000 0.000
Ni 3.916 0.000 2.367
Ni 7.157 0.000 0.985
Os 1.225 0.000 2.806
```

Record 2
A plane-wave DFT calculation with PBE was carried out for a relaxed structure of Dy3GaPd12.

formation energy = -12.36 eV/f.u.
crystal system = tetragonal
DOS at the Fermi energy = 0.735 states/eV per atom
space group = No. 123

Cell and atoms, written as extended XYZ:
```
16
Lattice="4.103 0.000 0.000 0.000 4.103 0.000 0.000 0.000 16.062" Properties=species:S:1:pos:R:3 pbc="T T T"
Dy 0.000 0.000 0.000
Dy 0.000 0.000 4.134
Dy 0.000 0.000 11.927
Ga 0.000 0.000 8.031
Pd 0.000 2.051 2.068
Pd 0.000 2.051 6.218
Pd 0.000 2.051 9.844
Pd 0.000 2.051 13.993
Pd 2.051 0.000 2.068
Pd 2.051 0.000 6.218
Pd 2.051 0.000 9.844
Pd 2.051 0.000 13.993
Pd 2.051 2.051 0.000
Pd 2.051 2.051 4.144
Pd 2.051 2.051 8.031
Pd 2.051 2.051 11.918
```

Number 2 is which compound?
Dy3GaPd12